Here is a relaxed structure of Li2Ag3Au4 from Alexandria via LeMat-Bulk. Energies are from PBE.

The structure in POSCAR format:
```
Li2Ag3Au4
1.0
4.931 0.041 -0.726
2.442 4.360 0.020
1.244 2.251 7.252
Li Ag Au
2 3 4
direct
0.757 0.119 0.325
0.243 0.881 0.675
0.561 0.227 0.664
0.000 0.000 0.000
0.439 0.773 0.336
0.333 0.334 0.003
0.890 0.575 0.656
0.110 0.425 0.344
0.667 0.666 0.997
```

Summary:
**Calculated volume**: 17.212 Å³/atom
**ΔH_f (0 K)**: -0.24 eV per atom
**Relative energy among the computed polymorphs**: 0.169 eV/f.u.
**Uncorrected energy**: -3.074 eV per atom